First-principles (PBE-GGA) data for a relaxed MnFeAuS2 crystal, as listed in the Alexandria database.

Cell lengths 4.247, 4.247, 4.893 Å; angles 90.00, 90.00, 90.00 degrees
Space group P4/mmm (No. 123)
Unique sites:
Mn: 0.000 0.000 0.000 x1
Fe: 0.000 0.000 0.500 x1
Au: 0.500 0.500 0.500 x1
S: 0.000 0.500 0.000 x2

Output
calculated density: 7.00 g cm⁻³
formation energy without anion corrections: 0.58 eV per atom